1.
# Zr2TlZn

An optimized crystal structure of Zr2TlZn (PBEsol, Alexandria via LeMat-Bulk).

Lattice parameters (Å, degrees): 4.184 4.345 4.345 90.00 90.00 90.00
Atoms (fractional coordinates):
Zr: 0.000 0.000 0.500
Zr: 0.000 0.500 0.000
Zn: 0.500 0.000 0.000
Tl: 0.500 0.500 0.500

Output
N(E_F): 3.17 states/eV/f.u.

***

2.
# Zr2TlZn

An optimized crystal structure of Zr2TlZn (PBEsol, Alexandria via LeMat-Bulk).

Lattice parameters (Å, degrees): 3.139 4.083 6.156 90.00 90.00 90.00
Atoms (fractional coordinates):
Zr: 0.000 0.000 0.263
Zr: 0.000 0.000 0.737
Tl: 0.500 0.500 0.000
Zn: 0.500 0.500 0.500

Output
N(E_F): 2.92 states/eV/f.u.

***

3.
# ZrTl2Zn

An optimized crystal structure of ZrTl2Zn (PBEsol, Alexandria via LeMat-Bulk).

Lattice parameters (Å, degrees): 3.667 4.538 5.903 112.61 108.09 90.00
Atoms (fractional coordinates):
Tl: 0.996 0.996 0.991
Tl: 0.770 0.270 0.541
Zn: 0.507 0.507 0.013
Zr: 0.227 0.727 0.455

Output
N(E_F): 2.59 states/eV/f.u.

***

4.
# ZrTl2Zn

An optimized crystal structure of ZrTl2Zn (PBEsol, Alexandria via LeMat-Bulk).

Lattice parameters (Å, degrees): 3.234 3.234 9.753 80.46 80.46 60.00
Atoms (fractional coordinates):
Zn: 0.500 0.500 0.500
Tl: 0.245 0.245 0.265
Tl: 0.755 0.755 0.735
Zr: 0.000 0.000 0.000

Output
N(E_F): 3.00 states/eV/f.u.

***

5.
# Zr2TlZn

An optimized crystal structure of Zr2TlZn (PBEsol, Alexandria via LeMat-Bulk).

Lattice parameters (Å, degrees): 3.143 3.143 8.374 90.00 90.00 90.01
Atoms (fractional coordinates):
Zr: 0.500 0.500 0.753
Zr: 0.000 0.000 0.023
Zn: 0.500 0.500 0.246
Tl: 0.000 0.000 0.478

Output
N(E_F): 3.38 states/eV/f.u.

***

6.
# ZrTl2Zn

An optimized crystal structure of ZrTl2Zn (PBEsol, Alexandria via LeMat-Bulk).

Lattice parameters (Å, degrees): 4.284 4.379 4.379 90.00 90.00 90.00
Atoms (fractional coordinates):
Zr: 0.500 0.000 0.000
Tl: 0.000 0.000 0.500
Tl: 0.000 0.500 0.000
Zn: 0.500 0.500 0.500

Output
N(E_F): 1.56 states/eV/f.u.

***

| no. | formation energy from the elements (eV per atom) |
| --- | --- |
| 1 | -0.2107 |
| 2 | -0.2107 |
| 3 | 0.0284 |
| 4 | 0.1144 |
| 5 | -0.0447 |
| 6 | -0.0690 |